## Sm8DyTm4 (PBE-GGA)

Data for an optimized crystal structure of Sm8DyTm4.

The total energy comes out at -57.60 eV for the cell shown. Its theoretical density is 7.9 g/cm³. The total moment comes out at 0.000 μB/atom. The energy of formation is 0.203 eV/atom. Its volume is 32.9 Å³ per atom.

a b c (Å): 7.237 7.237 10.316
angles (deg): 90.00 110.53 120.00
Fractional positions:
Tm1 0.000 0.000 0.000
Tm2 0.500 0.000 0.000
Tm3 0.500 0.500 0.000
Tm4 0.000 0.500 0.000
Sm1 0.573 0.786 0.359
Sm2 0.044 0.795 0.293
Sm3 0.502 0.751 0.707
Sm4 0.956 0.205 0.707
Sm5 0.956 0.751 0.707
Sm6 0.427 0.214 0.641
Sm7 0.498 0.249 0.293
Sm8 0.044 0.249 0.293
Dy1 0.000 0.500 0.500



## YZn3Cr (PBE-GGA)

Data for an optimized crystal structure of YZn3Cr.

The total energy comes out at -18.49 eV for the cell shown. Its theoretical density is 5.4 g/cm³. The total moment comes out at 0.494 μB/atom. The energy of formation is 0.283 eV/atom. The relative energy among the computed polymorphs is 0.0 kJ per mole of atoms. Its volume is 20.9 Å³ per atom.

a b c (Å): 4.709 4.709 4.709
angles (deg): 90.00 90.00 90.00
Fractional positions:
Zn1 0.000 0.000 0.500
Zn2 0.000 0.500 0.000
Zn3 0.500 0.000 0.000
Y1 0.500 0.500 0.500
Cr1 0.000 0.000 0.000



## Rb2BaHg (PBE-GGA)

Data for an optimized crystal structure of Rb2BaHg.

The total energy comes out at -8.35 eV for the cell shown. Its theoretical density is 3.3 g/cm³. The total moment comes out at 0.000 μB/atom. The energy of formation is -0.004 eV/atom. Its volume is 63.2 Å³ per atom.

a b c (Å): 11.904 11.904 9.143
angles (deg): 49.38 49.38 90.00
Fractional positions:
Rb1 0.375 0.284 0.750
Rb2 0.875 0.966 0.750
Rb3 0.716 0.125 0.250
Rb4 0.034 0.625 0.250
Hg1 0.750 0.250 0.500
Hg2 0.000 0.000 0.000
Ba1 0.250 0.750 0.500
Ba2 0.500 0.500 0.000



## Li3Ac2MgCd4 (PBE-GGA)

Data for an optimized crystal structure of Li3Ac2MgCd4.

The total energy comes out at -21.23 eV for the cell shown. Its theoretical density is 6.1 g/cm³. The total moment comes out at 0.000 μB/atom. The energy of formation is -0.202 eV/atom. Its volume is 26.0 Å³ per atom.

a b c (Å): 4.582 4.582 12.386
angles (deg): 90.00 90.00 90.00
Fractional positions:
Ac1 0.000 0.500 0.761
Ac2 0.500 0.000 0.239
Cd1 0.500 0.500 0.000
Cd2 0.000 0.000 0.000
Cd3 0.000 0.500 0.353
Cd4 0.500 0.000 0.647
Li1 0.000 0.500 0.128
Li2 0.000 0.000 0.500
Li3 0.500 0.000 0.872
Mg1 0.500 0.500 0.500



## KTcPb3 (PBE-GGA)

Data for an optimized crystal structure of KTcPb3.

The total energy comes out at -13.70 eV for the cell shown. Its theoretical density is 6.4 g/cm³. The total moment comes out at 0.791 μB/atom. The energy of formation is 1.778 eV/atom. The relative energy among the computed polymorphs is 146.0 kJ per mole of atoms. Its volume is 39.3 Å³ per atom.

a b c (Å): 5.812 5.812 5.812
angles (deg): 90.00 90.00 90.00
Fractional positions:
Pb1 0.000 0.000 0.500
Pb2 0.500 0.000 0.000
Pb3 0.000 0.500 0.000
K1 0.000 0.000 0.000
Tc1 0.500 0.500 0.500



## Pr2SmSnC (PBE-GGA)

Data for an optimized crystal structure of Pr2SmSnC.

The total energy comes out at -29.83 eV for the cell shown. Its theoretical density is 7.0 g/cm³. The total moment comes out at 0.000 μB/atom. The energy of formation is -0.464 eV/atom. Its volume is 26.8 Å³ per atom.

a b c (Å): 5.043 5.154 5.154
angles (deg): 90.00 90.00 90.00
Fractional positions:
C1 0.000 0.000 0.000
Pr1 0.000 0.000 0.500
Pr2 0.000 0.500 0.000
Sn1 0.500 0.500 0.500
Sm1 0.500 0.000 0.000



## La2PrTh (PBE-GGA)

Data for an optimized crystal structure of La2PrTh.

The total energy comes out at -21.82 eV for the cell shown. Its theoretical density is 7.8 g/cm³. The total moment comes out at 0.000 μB/atom. The energy of formation is 0.059 eV/atom. The relative energy among the computed polymorphs is 4.3 kJ per mole of atoms. Its volume is 34.8 Å³ per atom.

a b c (Å): 5.185 5.182 5.182
angles (deg): 90.00 90.00 90.00
Fractional positions:
Th1 0.500 0.500 0.500
La1 0.000 0.500 0.000
La2 0.000 0.000 0.500
Pr1 0.500 0.000 0.000



## PrSm2DyMg (PBE-GGA)

Data for an optimized crystal structure of PrSm2DyMg.

The total energy comes out at -40.64 eV for the cell shown. Its theoretical density is 6.5 g/cm³. The total moment comes out at 0.000 μB/atom. The energy of formation is 0.019 eV/atom. Its volume is 31.9 Å³ per atom.

a b c (Å): 5.685 6.232 9.502
angles (deg): 108.82 90.00 90.00
Fractional positions:
Dy1 0.250 0.337 0.002
Dy2 0.750 0.663 0.998
Mg1 0.250 0.730 0.809
Mg2 0.750 0.270 0.191
Pr1 0.250 0.535 0.389
Pr2 0.750 0.465 0.611
Sm1 0.250 0.952 0.201
Sm2 0.250 0.124 0.608
Sm3 0.750 0.048 0.799
Sm4 0.750 0.876 0.392



## NbPOsRuSeS (PBE-GGA)

Data for an optimized crystal structure of NbPOsRuSeS.

The total energy comes out at -46.03 eV for the cell shown. Its theoretical density is 8.5 g/cm³. The total moment comes out at 0.000 μB/atom. The relative energy among the computed polymorphs is 0.7 kJ per mole of atoms. Its volume is 17.1 Å³ per atom.

a b c (Å): 5.724 3.246 5.910
angles (deg): 90.00 110.69 90.00
Fractional positions:
Se1 0.944 0.000 0.311
S1 0.562 0.500 0.527
Nb1 0.809 0.000 0.848
Os1 0.608 0.500 0.121
Ru1 0.290 0.000 0.703
P1 0.183 0.500 0.914



## SmPa2In9 (PBE-GGA)

Data for an optimized crystal structure of SmPa2In9.

The total energy comes out at -51.27 eV for the cell shown. Its theoretical density is 9.0 g/cm³. The total moment comes out at 0.179 μB/atom. The energy of formation is -0.242 eV/atom. Its volume is 25.2 Å³ per atom.

a b c (Å): 4.657 4.657 13.969
angles (deg): 90.00 90.00 90.00
Fractional positions:
In1 0.500 0.500 0.666
In2 0.500 0.500 0.000
In3 0.500 0.000 0.500
In4 0.000 0.500 0.832
In5 0.000 0.500 0.168
In6 0.500 0.000 0.168
In7 0.500 0.000 0.832
In8 0.500 0.500 0.334
In9 0.000 0.500 0.500
Pa1 0.000 0.000 0.666
Pa2 0.000 0.000 0.334
Sm1 0.000 0.000 0.000



## NaY2Th (PBE-GGA)

Data for an optimized crystal structure of NaY2Th.

The total energy comes out at -21.26 eV for the cell shown. Its theoretical density is 5.4 g/cm³. The total moment comes out at 0.000 μB/atom. The energy of formation is 0.102 eV/atom. Its volume is 33.4 Å³ per atom.

a b c (Å): 3.583 3.583 12.195
angles (deg): 81.55 81.55 60.00
Fractional positions:
Th1 0.500 0.500 0.500
Na1 0.000 0.000 0.000
Y1 0.756 0.756 0.731
Y2 0.244 0.244 0.269



## SrIn4Sn2 (PBE-GGA)

Data for an optimized crystal structure of SrIn4Sn2.

The total energy comes out at -21.70 eV for the cell shown. Its theoretical density is 6.2 g/cm³. The total moment comes out at 0.000 μB/atom. The energy of formation is -0.152 eV/atom. Its volume is 30.2 Å³ per atom.

a b c (Å): 4.651 4.701 9.951
angles (deg): 103.66 90.00 90.00
Fractional positions:
Sr1 0.000 0.000 0.000
Sn1 0.500 0.425 0.849
Sn2 0.500 0.575 0.151
In1 0.500 0.816 0.633
In2 0.500 0.184 0.367
In3 0.000 0.313 0.626
In4 0.000 0.687 0.374